# 1
# ScFeBi2, optimized geometry, DFT PBE-GGA
# Total magnetic moment = 0.00 μB per formula unit
# ΔH_f (0 K) = 246 meV/atom
# Energy relative to the lowest polymorph listed for this composition = 0 meV per atom
data_ScFeBi2
_cell_length_a 7.793
_cell_length_b 7.793
_cell_length_c 6.208
_cell_angle_alpha 90.00
_cell_angle_beta 90.00
_cell_angle_gamma 90.00
_symmetry_space_group_name_H-M 'I -4 2 d'
_symmetry_Int_Tables_number 122
_symmetry_space_group_name_Hall 'I -4 2bw'
loop_
_atom_site_label
_atom_site_type_symbol
_atom_site_fract_x
_atom_site_fract_y
_atom_site_fract_z
Sc1 Sc 0.000 0.000 0.000
Fe1 Fe 0.000 0.000 0.500
Bi1 Bi 0.196 0.250 0.625

# 2
# ScFe3Bi, optimized geometry, DFT PBE-GGA
# Total magnetic moment = 6.63 μB per formula unit
# ΔH_f (0 K) = 1197 meV/atom
# Energy relative to the lowest polymorph listed for this composition = 0 meV per atom
data_ScFe3Bi
_cell_length_a 4.599
_cell_length_b 4.599
_cell_length_c 4.599
_cell_angle_alpha 90.00
_cell_angle_beta 90.00
_cell_angle_gamma 90.00
_symmetry_space_group_name_H-M 'P m -3 m'
_symmetry_Int_Tables_number 221
_symmetry_space_group_name_Hall '-P 4 2 3'
loop_
_atom_site_label
_atom_site_type_symbol
_atom_site_fract_x
_atom_site_fract_y
_atom_site_fract_z
Sc1 Sc 0.000 0.000 0.000
Fe1 Fe 0.000 0.000 0.500
Bi1 Bi 0.500 0.500 0.500

# 3
# Sc2Fe2Bi, optimized geometry, DFT PBE-GGA
# Total magnetic moment = 3.50 μB per formula unit
# ΔH_f (0 K) = -156 meV/atom
data_Sc2Fe2Bi
_cell_length_a 7.143
_cell_length_b 7.143
_cell_length_c 3.697
_cell_angle_alpha 90.00
_cell_angle_beta 90.00
_cell_angle_gamma 90.00
_symmetry_space_group_name_H-M 'P 4/m b m'
_symmetry_Int_Tables_number 127
_symmetry_space_group_name_Hall '-P 4 2ab'
loop_
_atom_site_label
_atom_site_type_symbol
_atom_site_fract_x
_atom_site_fract_y
_atom_site_fract_z
Sc1 Sc 0.172 0.328 0.000
Fe1 Fe 0.109 0.609 0.500
Bi1 Bi 0.000 0.000 0.500

# 4
# Sc8FeBi2, optimized geometry, DFT PBE-GGA
# Total magnetic moment = 0.00 μB per formula unit
# ΔH_f (0 K) = -266 meV/atom
data_Sc8FeBi2
_cell_length_a 5.114
_cell_length_b 6.598
_cell_length_c 14.735
_cell_angle_alpha 90.00
_cell_angle_beta 90.00
_cell_angle_gamma 90.00
_symmetry_space_group_name_H-M 'I m m m'
_symmetry_Int_Tables_number 71
_symmetry_space_group_name_Hall '-I 2 2'
loop_
_atom_site_label
_atom_site_type_symbol
_atom_site_fract_x
_atom_site_fract_y
_atom_site_fract_z
Sc1 Sc 0.000 0.000 0.183
Sc2 Sc 0.000 0.238 0.383
Sc3 Sc 0.000 0.239 0.000
Fe1 Fe 0.000 0.500 0.500
Bi1 Bi 0.000 0.500 0.188

# 5
# ScFe2Bi, optimized geometry, DFT PBE-GGA
# Total magnetic moment = 4.96 μB per formula unit
# ΔH_f (0 K) = 425 meV/atom
data_ScFe2Bi
_cell_length_a 4.056
_cell_length_b 4.056
_cell_length_c 19.296
_cell_angle_alpha 90.00
_cell_angle_beta 90.00
_cell_angle_gamma 90.00
_symmetry_space_group_name_H-M 'I -4 2 d'
_symmetry_Int_Tables_number 122
_symmetry_space_group_name_Hall 'I -4 2bw'
loop_
_atom_site_label
_atom_site_type_symbol
_atom_site_fract_x
_atom_site_fract_y
_atom_site_fract_z
Sc1 Sc 0.000 0.000 0.000
Fe1 Fe 0.201 0.250 0.125
Bi1 Bi 0.000 0.000 0.500

# 6
# ScFeBi3, optimized geometry, DFT PBE-GGA
# Total magnetic moment = 2.58 μB per formula unit
# ΔH_f (0 K) = 375 meV/atom
# Energy relative to the lowest polymorph listed for this composition = 0 meV per atom
data_ScFeBi3
_cell_length_a 5.207
_cell_length_b 5.207
_cell_length_c 5.207
_cell_angle_alpha 90.00
_cell_angle_beta 90.00
_cell_angle_gamma 90.00
_symmetry_space_group_name_H-M 'P m -3 m'
_symmetry_Int_Tables_number 221
_symmetry_space_group_name_Hall '-P 4 2 3'
loop_
_atom_site_label
_atom_site_type_symbol
_atom_site_fract_x
_atom_site_fract_y
_atom_site_fract_z
Sc1 Sc 0.000 0.000 0.000
Fe1 Fe 0.500 0.500 0.500
Bi1 Bi 0.000 0.500 0.500

# 7
# FeBi3Se, optimized geometry, DFT PBE-GGA
# Total magnetic moment = 1.40 μB per formula unit
# Energy relative to the lowest polymorph listed for this composition = 0 meV per atom
# Formation energy (no corrections) = 176 kJ/mol of formula units
data_FeBi3Se
_cell_length_a 5.135
_cell_length_b 5.135
_cell_length_c 5.135
_cell_angle_alpha 90.00
_cell_angle_beta 90.00
_cell_angle_gamma 90.00
_symmetry_space_group_name_H-M 'P m -3 m'
_symmetry_Int_Tables_number 221
_symmetry_space_group_name_Hall '-P 4 2 3'
loop_
_atom_site_label
_atom_site_type_symbol
_atom_site_fract_x
_atom_site_fract_y
_atom_site_fract_z
Fe1 Fe 0.000 0.000 0.000
Bi1 Bi 0.000 0.000 0.500
Se1 Se 0.500 0.500 0.500

# 8
# FeBi3Se, optimized geometry, DFT PBE-GGA
# Total magnetic moment = 3.09 μB per formula unit
# Energy relative to the lowest polymorph listed for this composition = 701 meV per atom
# Formation energy (no corrections) = 514 kJ/mol of formula units
data_FeBi3Se
_cell_length_a 5.525
_cell_length_b 5.525
_cell_length_c 5.525
_cell_angle_alpha 90.00
_cell_angle_beta 90.00
_cell_angle_gamma 90.00
_symmetry_space_group_name_H-M 'P m -3 m'
_symmetry_Int_Tables_number 221
_symmetry_space_group_name_Hall '-P 4 2 3'
loop_
_atom_site_label
_atom_site_type_symbol
_atom_site_fract_x
_atom_site_fract_y
_atom_site_fract_z
Fe1 Fe 0.000 0.000 0.000
Bi1 Bi 0.000 0.500 0.500
Se1 Se 0.500 0.500 0.500

# 9
# FeBi2Se, optimized geometry, DFT PBE-GGA
# Total magnetic moment = 0.00 μB per formula unit
# Formation energy (no corrections) = 180 kJ/mol of formula units
data_FeBi2Se
_cell_length_a 6.293
_cell_length_b 6.293
_cell_length_c 12.313
_cell_angle_alpha 90.00
_cell_angle_beta 90.00
_cell_angle_gamma 90.00
_symmetry_space_group_name_H-M 'I -4 2 d'
_symmetry_Int_Tables_number 122
_symmetry_space_group_name_Hall 'I -4 2bw'
loop_
_atom_site_label
_atom_site_type_symbol
_atom_site_fract_x
_atom_site_fract_y
_atom_site_fract_z
Fe1 Fe 0.000 0.000 0.000
Bi1 Bi 0.187 0.250 0.125
Se1 Se 0.000 0.000 0.500

# 10
# TaFe2BiSe, optimized geometry, DFT PBE-GGA
# Total magnetic moment = 0.02 μB per formula unit
# Formation energy (no corrections) = 638 kJ/mol of formula units
data_TaFe2BiSe
_cell_length_a 4.252
_cell_length_b 4.252
_cell_length_c 5.589
_cell_angle_alpha 90.00
_cell_angle_beta 90.00
_cell_angle_gamma 90.00
_symmetry_space_group_name_H-M 'P 4/m m m'
_symmetry_Int_Tables_number 123
_symmetry_space_group_name_Hall '-P 4 2'
loop_
_atom_site_label
_atom_site_type_symbol
_atom_site_fract_x
_atom_site_fract_y
_atom_site_fract_z
Ta1 Ta 0.000 0.000 0.000
Fe1 Fe 0.000 0.500 0.500
Bi1 Bi 0.500 0.500 0.000
Se1 Se 0.500 0.500 0.500

# 11
# FeBiTe2Se, optimized geometry, DFT PBE-GGA
# Total magnetic moment = 2.32 μB per formula unit
# Formation energy (no corrections) = 89 kJ/mol of formula units
data_FeBiTe2Se
_cell_length_a 5.340
_cell_length_b 5.340
_cell_length_c 4.516
_cell_angle_alpha 90.00
_cell_angle_beta 90.00
_cell_angle_gamma 90.00
_symmetry_space_group_name_H-M 'P 4/m m m'
_symmetry_Int_Tables_number 123
_symmetry_space_group_name_Hall '-P 4 2'
loop_
_atom_site_label
_atom_site_type_symbol
_atom_site_fract_x
_atom_site_fract_y
_atom_site_fract_z
Fe1 Fe 0.000 0.000 0.000
Bi1 Bi 0.500 0.500 0.500
Te1 Te 0.000 0.500 0.000
Se1 Se 0.000 0.000 0.500

# 12
# Fe2BiTeSe, optimized geometry, DFT PBE-GGA
# Total magnetic moment = 5.33 μB per formula unit
# Formation energy (no corrections) = 443 kJ/mol of formula units
data_Fe2BiTeSe
_cell_length_a 4.785
_cell_length_b 4.785
_cell_length_c 5.692
_cell_angle_alpha 90.00
_cell_angle_beta 90.00
_cell_angle_gamma 90.00
_symmetry_space_group_name_H-M 'P 4/m m m'
_symmetry_Int_Tables_number 123
_symmetry_space_group_name_Hall '-P 4 2'
loop_
_atom_site_label
_atom_site_type_symbol
_atom_site_fract_x
_atom_site_fract_y
_atom_site_fract_z
Fe1 Fe 0.000 0.500 0.000
Bi1 Bi 0.000 0.000 0.500
Te1 Te 0.500 0.500 0.000
Se1 Se 0.500 0.500 0.500

no.,V (A^3/atom)
1,23.56
2,19.45
3,18.86
4,22.60
5,19.84
6,28.23
7,27.08
8,33.74
9,30.48
10,20.21
11,25.75
12,26.06